1.
Tc2P: optimized geometry, PBE-GGA.

Lattice parameters (Å, degrees): 5.0934 5.0934 5.0934 60.00 60.00 60.00
Sites, in units of the cell vectors:
Tc (0.0000, 0.0000, 0.0000)
Tc (0.0000, 0.0000, 0.5000)
Tc (0.0000, 0.5000, 0.0000)
Tc (0.5000, 0.0000, 0.0000)
P (0.3750, 0.3750, 0.3750)
P (0.6250, 0.6250, 0.6250)

Results
Its magnetic moment is 0.038 μB per cell. The energy above the most stable polymorph in this dataset is 0.0000 eV/atom.

=====

2.
Nd5CSe4: optimized geometry, PBE-GGA.

Lattice parameters (Å, degrees): 7.2061 7.2061 7.2061 99.58 99.58 131.84
Sites, in units of the cell vectors:
Nd (0.0000, 0.0000, 0.0000)
Nd (0.2359, 0.5907, 0.8266)
Nd (0.4093, 0.2359, 0.6453)
Nd (0.5907, 0.7641, 0.3547)
Nd (0.7641, 0.4093, 0.1734)
C (0.5000, 0.5000, 0.0000)
Se (0.0927, 0.3047, 0.3974)
Se (0.3047, 0.9073, 0.2120)
Se (0.6953, 0.0927, 0.7880)
Se (0.9073, 0.6953, 0.6026)

Results
Its magnetic moment is 0.004 μB per cell. The value obtained for the uncorrected energy is -6.221 eV per atom.

=====

3.
Be4CdSb2: optimized geometry, PBE-GGA.

Lattice parameters (Å, degrees): 6.0106 6.0106 3.5178 90.16 90.16 116.21
Sites, in units of the cell vectors:
Be (0.1011, 0.8989, 0.0000)
Be (0.1652, 0.1652, 0.5012)
Be (0.8348, 0.8348, 0.4988)
Be (0.8989, 0.1011, 0.0000)
Cd (0.5000, 0.5000, 0.0000)
Sb (0.0000, 0.5000, 0.5000)
Sb (0.5000, 0.0000, 0.5000)

Results
The value obtained for the uncorrected energy is -3.059 eV per atom.

=====

Which formula does entry 2 have?
Nd5CSe4

=====

What is the formula in the second record?
Nd5CSe4